Entry 1:
VASP calculation (PBE) on an optimized crystal structure of H2PtSF.

total magnetic moment	0.00	Bohr magnetons per cell
calculated total energy	-16.85	eV for the cell shown
Fermi-level density of states	2.8	states/eV/f.u.

Cell lengths 3.2745, 3.2745, 7.4047 Å; angles 90.00, 90.00, 90.00 degrees
Closest atoms and distances in Å follow each position.
Space group P4/mmm (No. 123)
Symmetry-distinct sites (fractional):
H 0.0000 0.5000 0.0000 [2 per cell]  2 F 1.64
Pt 0.0000 0.0000 0.5000 [1 per cell]  4 S 2.32
S 0.5000 0.5000 0.5000 [1 per cell]  4 Pt 2.32
F 0.0000 0.0000 0.0000 [1 per cell]  4 H 1.64

***

Entry 2:
VASP calculation (PBE) on an optimized crystal structure of SbH2PtF.

total magnetic moment	0.00	Bohr magnetons per cell
calculated total energy	-16.73	eV for the cell shown
Fermi-level density of states	1.1	states/eV/f.u.

Cell lengths 3.8456, 3.8456, 4.5602 Å; angles 90.00, 90.00, 90.00 degrees
Closest atoms and distances in Å follow each position.
Space group P4/mmm (No. 123)
Symmetry-distinct sites (fractional):
Sb 0.0000 0.0000 0.0000 [1 per cell]  4 H 1.92
H 0.0000 0.5000 0.0000 [2 per cell]  2 Sb 1.92
Pt 0.5000 0.5000 0.5000 [1 per cell]  4 F 2.72, 8 H 2.98
F 0.0000 0.0000 0.5000 [1 per cell]  2 Sb 2.28

***

Entry 3:
VASP calculation (PBE) on an optimized crystal structure of SiHPt2F.

total magnetic moment	0.00	Bohr magnetons per cell
calculated total energy	-22.29	eV for the cell shown
Fermi-level density of states	2.0	states/eV/f.u.

Cell lengths 4.8300, 4.8300, 2.6441 Å; angles 90.00, 90.00, 90.00 degrees
Closest atoms and distances in Å follow each position.
Space group P4/mmm (No. 123)
Symmetry-distinct sites (fractional):
Si 0.0000 0.0000 0.0000 [1 per cell]  2 Si 2.64, 8 Pt 2.75
H 0.5000 0.5000 0.0000 [1 per cell]  2 F 1.32
Pt 0.0000 0.5000 0.5000 [2 per cell]  2 F 2.41, 2 Pt 2.64
F 0.5000 0.5000 0.5000 [1 per cell]  2 H 1.32

***

Entry 4:
VASP calculation (PBE) on an optimized crystal structure of SrH2PtF8.

total magnetic moment	0.00	Bohr magnetons per cell
calculated total energy	-54.23	eV for the cell shown
Fermi-level density of states	0.0	states/eV/f.u.

Cell lengths 5.1325, 5.1552, 7.1343 Å; angles 83.38, 82.85, 66.86 degrees
Closest atoms and distances in Å follow each position.
Space group P-1 (No. 2)
Symmetry-distinct sites (fractional):
Sr 0.0000 0.0000 0.0000 [1 per cell]  6 F 2.46-2.60
H 0.2737 0.2682 0.2328 [2 per cell]  1 F 1.03
Pt 0.0000 0.0000 0.5000 [1 per cell]  6 F 1.97-1.98
F 0.2182 0.7578 0.2929 [2 per cell]  1 Pt 1.98
F 0.2336 0.2272 0.4265 [2 per cell]  1 H 1.38
F 0.2398 0.7780 0.7046 [2 per cell]  1 Pt 1.98
F 0.2869 0.2793 0.0877 [2 per cell]  1 H 1.03

***

Entry 5:
VASP calculation (PBE) on an optimized crystal structure of Ti2HPtF.

total magnetic moment	0.00	Bohr magnetons per cell
calculated total energy	-29.67	eV for the cell shown
Fermi-level density of states	5.7	states/eV/f.u.

Cell lengths 4.0221, 4.0221, 3.8552 Å; angles 90.00, 90.00, 90.00 degrees
Closest atoms and distances in Å follow each position.
Space group P4/mmm (No. 123)
Symmetry-distinct sites (fractional):
Ti 0.0000 0.5000 0.0000 [2 per cell]  2 H 2.01
H 0.0000 0.0000 0.0000 [1 per cell]  2 F 1.93, 4 Ti 2.01
Pt 0.5000 0.5000 0.5000 [1 per cell]  8 Ti 2.79, 4 F 2.84
F 0.0000 0.0000 0.5000 [1 per cell]  2 H 1.93

***

Entry 6:
VASP calculation (PBE) on an optimized crystal structure of Tl2HPtF6.

total magnetic moment	6.00	Bohr magnetons per cell
calculated total energy	-237.66	eV for the cell shown

Cell lengths 5.7302, 5.7302, 32.8729 Å; angles 90.00, 90.00, 120.00 degrees
Closest atoms and distances in Å follow each position.
Space group R-3m (No. 166, hexagonal axes)
Symmetry-distinct sites (fractional):
Tl 0.0000 0.0000 0.1162 [6 per cell]  12 F 2.91-3.26
Tl 0.0000 0.0000 0.2786 [6 per cell]  9 F 2.93-3.06, 1 H 3.00
H 0.0000 0.0000 0.3698 [6 per cell]  3 F 1.39
Pt 0.0000 0.0000 0.0000 [3 per cell]  6 F 2.28
Pt 0.0000 0.0000 0.5000 [3 per cell]  6 F 1.97
F 0.0067 0.5033 0.1324 [18 per cell]  1 Pt 1.97
F 0.0528 0.5264 0.2957 [18 per cell]  1 H 1.39

***

Entry 7:
VASP calculation (PBE) on an optimized crystal structure of PuH2F8.

total magnetic moment	0.26	Bohr magnetons per cell
calculated total energy	-109.58	eV for the cell shown

Cell lengths 8.6092, 6.1164, 6.7217 Å; angles 90.00, 119.36, 90.00 degrees
Closest atoms and distances in Å follow each position.
Space group C2/m (No. 12)
Symmetry-distinct sites (fractional):
Pu 0.0000 0.0000 0.0000 [2 per cell]  8 F 2.03-2.06
H 0.0496 0.0000 0.5400 [4 per cell]  1 H 0.75
F 0.0245 0.2703 0.1890 [8 per cell]  1 Pu 2.03
F 0.1989 0.0000 0.9139 [4 per cell]  1 Pu 2.06, 1 H 2.19
F 0.2451 0.0000 0.2883 [4 per cell]  1 Pu 2.05

***

Entry 8:
VASP calculation (PBE) on an optimized crystal structure of PuHF2.

total magnetic moment	18.45	Bohr magnetons per cell
calculated total energy	-77.92	eV for the cell shown
Fermi-level density of states	5.7	states/eV/f.u.

Cell lengths 3.5082, 3.5082, 22.0077 Å; angles 90.00, 90.00, 120.00 degrees
Closest atoms and distances in Å follow each position.
Space group R-3m (No. 166, hexagonal axes)
Symmetry-distinct sites (fractional):
Pu 0.0000 0.0000 0.0000 [3 per cell]  2 F 2.02
H 0.0000 0.0000 0.5000 [3 per cell]  6 F 2.61
F 0.0000 0.0000 0.0916 [6 per cell]  1 Pu 2.02

***

Entry 9:
VASP calculation (PBE) on an optimized crystal structure of Pu2HF4.

total magnetic moment	33.00	Bohr magnetons per cell
calculated total energy	-176.40	eV for the cell shown
Fermi-level density of states	17.4	states/eV/f.u.

Cell lengths 4.1598, 4.1598, 23.5523 Å; angles 90.00, 90.00, 120.00 degrees
Closest atoms and distances in Å follow each position.
Space group R-3m (No. 166, hexagonal axes)
Symmetry-distinct sites (fractional):
Pu 0.0000 0.0000 0.0923 [6 per cell]  1 H 2.17, 3 F 2.43
H 0.0000 0.0000 0.0000 [3 per cell]  2 Pu 2.17
F 0.0000 0.0000 0.2008 [6 per cell]  4 Pu 2.56-2.58, 3 F 2.74
F 0.0000 0.0000 0.4095 [6 per cell]  3 Pu 2.43

***

Entry 10:
VASP calculation (PBE) on an optimized crystal structure of PuH2F.

total magnetic moment	5.00	Bohr magnetons per cell
calculated total energy	-26.98	eV for the cell shown
Fermi-level density of states	6.6	states/eV/f.u.

Cell lengths 3.1251, 3.1251, 4.5670 Å; angles 90.00, 90.00, 90.00 degrees
Closest atoms and distances in Å follow each position.
Space group P4/mmm (No. 123)
Symmetry-distinct sites (fractional):
Pu 0.0000 0.0000 0.0000 [1 per cell]  2 F 2.28, 8 H 2.39
H 0.5000 0.5000 0.1969 [2 per cell]  1 H 1.80
F 0.0000 0.0000 0.5000 [1 per cell]  2 Pu 2.28

***

Entry 11:
VASP calculation (PBE) on an optimized crystal structure of Pu2HF.

total magnetic moment	34.98	Bohr magnetons per cell
calculated total energy	-113.83	eV for the cell shown
Fermi-level density of states	14.3	states/eV/f.u.

Cell lengths 3.3520, 3.3520, 20.4640 Å; angles 90.00, 90.00, 120.00 degrees
Closest atoms and distances in Å follow each position.
Space group R-3m (No. 166, hexagonal axes)
Symmetry-distinct sites (fractional):
Pu 0.0000 0.0000 0.2388 [6 per cell]  3 H 2.43
H 0.0000 0.0000 0.5000 [3 per cell]  6 Pu 2.43
F 0.0000 0.0000 0.0000 [3 per cell]  6 Pu 2.74

***

Entry 12:
VASP calculation (PBE) on an optimized crystal structure of PuH2F8.

total magnetic moment	4.00	Bohr magnetons per cell
calculated total energy	-123.68	eV for the cell shown
Fermi-level density of states	8.3	states/eV/f.u.

Cell lengths 10.1006, 5.9582, 5.5417 Å; angles 90.00, 98.83, 90.00 degrees
Closest atoms and distances in Å follow each position.
Space group C2/m (No. 12)
Symmetry-distinct sites (fractional):
Pu 0.0000 0.0000 0.0000 [2 per cell]  6 F 1.99-2.05
H 0.2170 0.5000 0.4779 [4 per cell]  1 F 0.95
F 0.1034 0.2325 0.8514 [8 per cell]  1 Pu 1.99
F 0.1404 0.0000 0.3081 [4 per cell]  1 H 1.72
F 0.1477 0.5000 0.3408 [4 per cell]  1 H 0.95

***

Entry 13:
VASP calculation (PBE) on an optimized crystal structure of PuH2F6.

total magnetic moment	16.00	Bohr magnetons per cell
calculated total energy	-221.38	eV for the cell shown
Fermi-level density of states	7.3	states/eV/f.u.

Cell lengths 10.8264, 7.6280, 5.6041 Å; angles 90.00, 110.98, 90.00 degrees
Closest atoms and distances in Å follow each position.
Space group C2/c (No. 15)
Symmetry-distinct sites (fractional):
Pu 0.0000 0.1740 0.2500 [4 per cell]  8 F 2.20-2.37
H 0.1239 0.4449 0.0024 [8 per cell]  1 F 1.04
F 0.1181 0.0263 0.6053 [8 per cell]  2 Pu 2.25-2.32, 1 F 2.44
F 0.1186 0.3093 0.0163 [8 per cell]  1 H 1.04
F 0.1241 0.3852 0.4831 [8 per cell]  1 H 1.30

***

Entry 14:
VASP calculation (PBE) on an optimized crystal structure of Pu2HF8.

total magnetic moment	18.00	Bohr magnetons per cell
calculated total energy	-157.37	eV for the cell shown
Fermi-level density of states	15.2	states/eV/f.u.

Cell lengths 6.8979, 11.1027, 4.4537 Å; angles 90.00, 94.63, 90.00 degrees
Closest atoms and distances in Å follow each position.
Space group C2/m (No. 12)
Symmetry-distinct sites (fractional):
Pu 0.0000 0.1734 0.0000 [4 per cell]  8 F 2.23-2.33
H 0.0000 0.5000 0.5000 [2 per cell]  6 F 2.88-2.89
F 0.0000 0.2091 0.5000 [4 per cell]  2 Pu 2.26
F 0.1035 0.0000 0.2363 [4 per cell]  2 Pu 2.28, 1 F 2.45
F 0.1890 0.3454 0.0944 [8 per cell]  2 Pu 2.23-2.33, 1 F 2.45

***

Entry 15:
VASP calculation (PBE) on an optimized crystal structure of PuHF6.

total magnetic moment	6.00	Bohr magnetons per cell
calculated total energy	-101.55	eV for the cell shown
Fermi-level density of states	6.1	states/eV/f.u.

Cell lengths 5.4764, 9.2822, 5.3940 Å; angles 90.00, 107.22, 90.00 degrees
Closest atoms and distances in Å follow each position.
Space group C2/m (No. 12)
Symmetry-distinct sites (fractional):
Pu 0.0000 0.0000 0.0000 [2 per cell]  6 F 2.01-2.24
H 0.0000 0.5000 0.5000 [2 per cell]  2 F 1.15
F 0.1054 0.5000 0.7180 [4 per cell]  1 H 1.15
F 0.1062 0.1518 0.7874 [8 per cell]  1 Pu 2.01

***

Entry 16:
VASP calculation (PBE) on an optimized crystal structure of PuHF2.

total magnetic moment	5.00	Bohr magnetons per cell
calculated total energy	-29.38	eV for the cell shown
Fermi-level density of states	4.1	states/eV/f.u.

Cell lengths 3.2677, 3.2677, 4.5854 Å; angles 90.00, 90.00, 90.00 degrees
Closest atoms and distances in Å follow each position.
Space group P4mm (No. 99)
Symmetry-distinct sites (fractional):
Pu 0.0000 0.0000 0.0000 [1 per cell]  2 F 2.21-2.37
H 0.5000 0.5000 0.7853 [1 per cell]  1 F 2.07
F 0.0000 0.0000 0.5173 [1 per cell]  2 Pu 2.21-2.37
F 0.5000 0.5000 0.2359 [1 per cell]  1 H 2.07

***

Entry 17:
VASP calculation (PBE) on an optimized crystal structure of PuH6F12.

total magnetic moment	6.00	Bohr magnetons per cell
calculated total energy	-284.95	eV for the cell shown
Fermi-level density of states	8.3	states/eV/f.u.

Cell lengths 8.0358, 8.0358, 14.9957 Å; angles 90.00, 90.00, 120.00 degrees
Closest atoms and distances in Å follow each position.
Space group R-3 (No. 148, hexagonal axes)
Symmetry-distinct sites (fractional):
Pu 0.0000 0.0000 0.0000 [3 per cell]  6 F 2.01
H 0.0328 0.8756 0.4075 [18 per cell]  1 F 0.97
F 0.0284 0.1961 0.4080 [18 per cell]  1 H 0.97
F 0.0417 0.2205 0.9221 [18 per cell]  1 Pu 2.01

***

Entry 18:
VASP calculation (PBE) on an optimized crystal structure of Pu2HF8.

total magnetic moment	14.00	Bohr magnetons per cell
calculated total energy	-156.02	eV for the cell shown
Fermi-level density of states	13.2	states/eV/f.u.

Cell lengths 9.6027, 7.5648, 4.3890 Å; angles 90.00, 92.54, 90.00 degrees
Closest atoms and distances in Å follow each position.
Space group C2/m (No. 12)
Symmetry-distinct sites (fractional):
Pu 0.2356 0.0000 0.4799 [4 per cell]  4 F 2.02-2.25
H 0.0000 0.0000 0.5000 [2 per cell]  2 Pu 2.27, 2 F 2.28
F 0.1009 0.5000 0.7934 [4 per cell]  1 Pu 2.02
F 0.1479 0.2654 0.3208 [8 per cell]  2 Pu 2.25-2.28, 1 F 2.47
F 0.1488 0.0000 0.9194 [4 per cell]  1 Pu 2.14, 1 H 2.28

***

Entry 19:
VASP calculation (PBE) on an optimized crystal structure of PuH2F.

total magnetic moment	20.00	Bohr magnetons per cell
calculated total energy	-111.23	eV for the cell shown
Fermi-level density of states	10.8	states/eV/f.u.

Cell lengths 5.4418, 5.4418, 5.4418 Å; angles 90.00, 90.00, 90.00 degrees
Closest atoms and distances in Å follow each position.
Space group Fm-3m (No. 225)
Symmetry-distinct sites (fractional):
Pu 0.0000 0.0000 0.0000 [4 per cell]  8 H 2.36
H 0.2500 0.2500 0.2500 [8 per cell]  4 F 2.36, 4 Pu 2.36
F 0.0000 0.0000 0.5000 [4 per cell]  8 H 2.36

***

Entry 20:
VASP calculation (PBE) on an optimized crystal structure of PuHF6.

total magnetic moment	3.00	Bohr magnetons per cell
calculated total energy	-50.75	eV for the cell shown
Fermi-level density of states	6.1	states/eV/f.u.

Cell lengths 5.1356, 5.2584, 5.3849 Å; angles 119.18, 105.08, 95.18 degrees
Closest atoms and distances in Å follow each position.
Space group P-1 (No. 2)
Symmetry-distinct sites (fractional):
Pu 0.0000 0.0000 0.0000 [1 per cell]  6 F 2.01-2.24
H 0.5000 0.0000 0.5000 [1 per cell]  2 F 1.15
F 0.2260 0.7597 0.7616 [2 per cell]  1 Pu 2.01
F 0.2323 0.3781 0.0805 [2 per cell]  1 Pu 2.01
F 0.2967 0.0590 0.4225 [2 per cell]  1 H 1.15